ScHg2Pd: optimized geometry, PBE-GGA.

Unit cell a=4.804 b=4.804 c=4.804 alpha=60.00 beta=60.00 gamma=60.00
Positions (direct):
Hg 0.500 0.500 0.500
Hg 0.250 0.250 0.250
Pd 0.750 0.750 0.750
Sc 0.000 0.000 0.000

## Properties
Formation energy in eV per atom: -0.388
SG: F-43m
Total energy in eV per formula unit: -13.65
Magnetic moment in μB per atom: 0.00